{"formula": "PrMgAl2Zn2", "functional": "PBE", "state": "optimized geometry", "lattice_angstrom": [[4.456, 0.000, 0.000], [-2.228, 3.859, 0.000], [0.000, 0.000, 7.051]], "species": ["Pr", "Mg", "Al", "Al", "Zn", "Zn"], "frac_coords": [[0.000, 0.000, 0.000], [0.000, 0.000, 0.500], [0.333, 0.667, 0.723], [0.667, 0.333, 0.277], [0.333, 0.667, 0.281], [0.667, 0.333, 0.719]], "density_g_cm3": 4.8, "formation_energy_ev_per_atom": -0.32, "spacegroup": "P-3m1", "energy_ev_per_atom": -3.0506}

***

{"formula": "Sr2Te2Br", "functional": "PBE", "state": "optimized geometry", "lattice_angstrom": [[8.740, 0.000, 0.000], [0.000, 8.740, 0.000], [0.000, 0.000, 4.586]], "species": ["Sr", "Sr", "Sr", "Sr", "Te", "Te", "Te", "Te", "Br", "Br"], "frac_coords": [[0.172, 0.328, 0.000], [0.328, 0.828, 0.000], [0.672, 0.172, 0.000], [0.828, 0.672, 0.000], [0.128, 0.628, 0.500], [0.372, 0.128, 0.500], [0.628, 0.872, 0.500], [0.872, 0.372, 0.500], [0.000, 0.000, 0.000], [0.500, 0.500, 0.000]], "density_g_cm3": 4.8, "spacegroup": "P4/mbm", "energy_ev_per_atom": -3.7580, "formation_energy_uncorrected_ev_per_atom": -1.494}